1.
Computed, not measured: ScAlHgAu after structural relaxation at the GGA-PBE level of DFT.

Values from the calculation:
N(E_F): 8.48 states/eV/cell
Spin magnetization: 0.0 μB/cell
Calculated volume: 75.85 Å³/f.u.
Calculated total energy: -0.284 Ry per atom

```
data_ScAlHgAu
_chemical_formula_sum 'Sc4 Al4 Hg4 Au4'
_cell_length_a 6.7195
_cell_length_b 6.7195
_cell_length_c 6.7195
_cell_angle_alpha 90.00
_cell_angle_beta 90.00
_cell_angle_gamma 90.00
_space_group_name_H-M_alt 'F -4 3 m'
_space_group_IT_number 216
_space_group_name_Hall 'F -4 2 3'
loop_
_atom_site_label
_atom_site_fract_x
_atom_site_fract_y
_atom_site_fract_z
Sc1 0.0000 0.0000 0.0000
Al1 0.0000 0.0000 0.5000
Hg1 0.2500 0.2500 0.2500
Au1 0.2500 0.2500 0.7500
```

=====

2.
Computed, not measured: Sr2CaCl after structural relaxation at the GGA-PBE level of DFT.

Values from the calculation:
N(E_F): 7.76 states/eV/cell
Raw formation energy: -0.71 eV/atom
Spin magnetization: 0.0 μB/cell
Calculated volume: 174.67 Å³/f.u.
Calculated total energy: -0.185 Ry per atom

```
data_Sr2CaCl
_chemical_formula_sum 'Sr4 Ca2 Cl2'
_cell_length_a 13.9200
_cell_length_b 4.0275
_cell_length_c 7.3157
_cell_angle_alpha 90.00
_cell_angle_beta 121.59
_cell_angle_gamma 90.00
_space_group_name_H-M_alt 'C 1 2/m 1'
_space_group_IT_number 12
_space_group_name_Hall '-C 2y'
loop_
_atom_site_label
_atom_site_fract_x
_atom_site_fract_y
_atom_site_fract_z
Sr1 0.1930 0.0000 0.1935
Ca1 0.0000 0.0000 0.5000
Cl1 0.0000 0.5000 0.0000
```

=====

3.
Computed, not measured: K3Pm3ScS8 after structural relaxation at the GGA-PBE level of DFT.

Values from the calculation:
N(E_F): 38.84 states/eV/cell
Raw formation energy: -1.73 eV/atom
Spin magnetization: 0.0 μB/cell
Calculated volume: 430.11 Å³/f.u.
Calculated total energy: -0.406 Ry per atom

```
data_K3Pm3ScS8
_chemical_formula_sum 'K9 Pm9 Sc3 S24'
_cell_length_a 8.1380
_cell_length_b 8.1380
_cell_length_c 22.4919
_cell_angle_alpha 90.00
_cell_angle_beta 90.00
_cell_angle_gamma 120.00
_space_group_name_H-M_alt 'R -3 m'
_space_group_IT_number 166
_space_group_name_Hall '-R 3 2"'
loop_
_atom_site_label
_atom_site_fract_x
_atom_site_fract_y
_atom_site_fract_z
K1 0.0000 0.5000 0.0000
Pm1 0.0000 0.5000 0.5000
Sc1 0.0000 0.0000 0.5000
S1 0.0000 0.0000 0.2360
S2 0.0202 0.5101 0.2311
```

=====

4.
Computed, not measured: Cs2SmCd2Te4 after structural relaxation at the GGA-PBE level of DFT.

Values from the calculation:
N(E_F): 8.85 states/eV/cell
Raw formation energy: -0.90 eV/atom
Spin magnetization: 0.0 μB/cell
Calculated volume: 354.17 Å³/f.u.
Calculated total energy: -0.236 Ry per atom

```
data_Cs2SmCd2Te4
_chemical_formula_sum 'Cs4 Sm2 Cd4 Te8'
_cell_length_a 17.9438
_cell_length_b 4.5948
_cell_length_c 9.2732
_cell_angle_alpha 90.00
_cell_angle_beta 112.11
_cell_angle_gamma 90.00
_space_group_name_H-M_alt 'C 1 2/m 1'
_space_group_IT_number 12
_space_group_name_Hall '-C 2y'
loop_
_atom_site_label
_atom_site_fract_x
_atom_site_fract_y
_atom_site_fract_z
Cs1 0.1285 0.0000 0.0663
Sm1 0.0000 0.0000 0.5000
Cd1 0.1864 0.5000 0.4990
Te1 0.0222 0.5000 0.2795
Te2 0.1872 0.0000 0.7007
```

=====

5.
Computed, not measured: K2RbRePd after structural relaxation at the GGA-PBE level of DFT.

Values from the calculation:
N(E_F): 4.66 states/eV/cell
Spin magnetization: 2.6 μB/cell
Calculated volume: 198.24 Å³/f.u.
Calculated total energy: -0.233 Ry per atom

```
data_K2RbRePd
_chemical_formula_sum 'K2 Rb1 Re1 Pd1'
_cell_length_a 6.3142
_cell_length_b 6.3142
_cell_length_c 4.9722
_cell_angle_alpha 90.00
_cell_angle_beta 90.00
_cell_angle_gamma 90.00
_space_group_name_H-M_alt 'P 4/m m m'
_space_group_IT_number 123
_space_group_name_Hall '-P 4 2'
loop_
_atom_site_label
_atom_site_fract_x
_atom_site_fract_y
_atom_site_fract_z
K1 0.0000 0.5000 0.0000
Rb1 0.0000 0.0000 0.5000
Re1 0.5000 0.5000 0.5000
Pd1 0.5000 0.5000 0.0000
```

=====

6.
Computed, not measured: Tb6As2PbS3 after structural relaxation at the GGA-PBE level of DFT.

Values from the calculation:
N(E_F): 8.99 states/eV/cell
Raw formation energy: -1.58 eV/atom
Spin magnetization: 0.0 μB/cell
Calculated volume: 292.02 Å³/f.u.
Calculated total energy: -0.442 Ry per atom

```
data_Tb6As2PbS3
_chemical_formula_sum 'Tb12 As4 Pb2 S6'
_cell_length_a 17.8519
_cell_length_b 4.0742
_cell_length_c 8.2343
_cell_angle_alpha 90.00
_cell_angle_beta 102.79
_cell_angle_gamma 90.00
_space_group_name_H-M_alt 'C 1 2/m 1'
_space_group_IT_number 12
_space_group_name_Hall '-C 2y'
loop_
_atom_site_label
_atom_site_fract_x
_atom_site_fract_y
_atom_site_fract_z
Tb1 0.0000 0.0000 0.2296
Tb2 0.1680 0.5000 0.0834
Tb3 0.1734 0.5000 0.5880
As1 0.1672 0.0000 0.8345
Pb1 0.0000 0.5000 0.5000
S1 0.0000 0.5000 0.0000
S2 0.1664 0.0000 0.3317
```